The following is a DFT calculation (PBE) of a relaxed BaInAgHg2 crystal.

Cell lengths 4.632, 4.865, 12.786 Å; angles 90.00, 90.00, 90.00 degrees
Space group Imm2 (No. 44)
Unique sites:
Ba: 0.000 0.000 0.000 x2
In: 0.000 0.500 0.754 x2
Ag: 0.000 0.000 0.387 x2
Hg: 0.000 0.000 0.609 x2
Hg: 0.000 0.500 0.264 x2

**Relative energy among the computed polymorphs**: 0 meV/atom
**ΔH_f (0 K)**: -1.58 eV per formula unit
**M_tot**: 0.00 μB/f.u.
**DOS at the Fermi energy**: 5.98 states/eV/cell

---

The following is a DFT calculation (PBE) of a relaxed Pr2Cd2Au crystal.

Cell lengths 10.985, 4.721, 11.366 Å; angles 90.00, 111.94, 90.00 degrees
Space group C2/m (No. 12)
Unique sites:
Pr: 0.011 0.000 0.334 x4
Pr: 0.184 0.000 0.116 x4
Cd: 0.032 0.500 0.887 x4
Cd: 0.149 0.500 0.558 x4
Au: 0.216 0.500 0.323 x4

**ΔH_f (0 K)**: -2.16 eV per formula unit
**M_tot**: 0.00 μB/f.u.
**DOS at the Fermi energy**: 18.14 states/eV/cell

---

The following is a DFT calculation (PBE) of a relaxed CsTl3I crystal.

Cell lengths 6.538, 6.538, 6.538 Å; angles 90.00, 90.00, 90.00 degrees
Space group Pm-3m (No. 221)
Unique sites:
Cs: 0.000 0.000 0.000 x1
Tl: 0.000 0.500 0.500 x3
I: 0.500 0.500 0.500 x1

**Formation energy (no corrections)**: -0.03 eV/atom
**Relative energy among the computed polymorphs**: 0 meV/atom
**M_tot**: 0.00 μB/f.u.
**DOS at the Fermi energy**: 3.41 states/eV/cell

---

The following is a DFT calculation (PBE) of a relaxed CaZn2Hg2 crystal.

Cell lengths 8.023, 8.023, 3.595 Å; angles 90.00, 90.00, 90.00 degrees
Space group P4/mbm (No. 127)
Unique sites:
Ca: 0.000 0.000 0.000 x2
Zn: 0.168 0.332 0.500 x4
Hg: 0.134 0.634 0.000 x4

**Relative energy among the computed polymorphs**: 136 meV/atom
**ΔH_f (0 K)**: -0.44 eV per formula unit
**M_tot**: 0.00 μB/f.u.
**DOS at the Fermi energy**: 4.04 states/eV/cell

---

The following is a DFT calculation (PBE) of a relaxed PmSm2Pd9 crystal.

Cell lengths 4.178, 4.178, 12.534 Å; angles 90.00, 90.00, 90.00 degrees
Space group P4/mmm (No. 123)
Unique sites:
Pm: 0.000 0.000 0.000 x1
Sm: 0.000 0.000 0.334 x2
Pd: 0.000 0.500 0.167 x4
Pd: 0.000 0.500 0.500 x2
Pd: 0.500 0.500 0.000 x1
Pd: 0.500 0.500 0.334 x2

**ΔH_f (0 K)**: -9.57 eV per formula unit
**M_tot**: 0.00 μB/f.u.
**DOS at the Fermi energy**: 8.36 states/eV/cell

---

The following is a DFT calculation (PBE) of a relaxed Er4SnRuRh2 crystal.

Cell lengths 4.8869, 4.8869, 24.5358 Å; angles 90.00, 90.00, 120.00 degrees
Space group R-3m (No. 166, hexagonal axes)
Unique sites:
Er: 0.0000 0.0000 0.1158 x6
Er: 0.0000 0.0000 0.3695 x6
Sn: 0.0000 0.0000 0.5000 x3
Ru: 0.0000 0.0000 0.0000 x3
Rh: 0.0000 0.0000 0.2524 x6

**ΔH_f (0 K)**: -5.55 eV per formula unit
**M_tot**: 0.00 μB/f.u.
**DOS at the Fermi energy**: 13.03 states/eV/cell